## La8Ru3NCl3 (PBE)

Data for a geometry-optimized La8Ru3NCl3 structure.

For the raw formation energy, the calculation gives -0.95 eV per atom. The density comes out at 5.8 g cm⁻³.

It has space group C2/m (No. 12), with a = 14.071 Å, b = 8.129 Å, c = 8.956 Å, α = 90.00°, β = 121.65° and γ = 90.00°. Symmetry generates all atoms from La at (0.015, 0.237, 0.309), La at (0.221, 0.000, 0.691), La at (0.238, 0.500, 0.715), Ru at (0.000, 0.500, 0.500), Ru at (0.250, 0.250, 0.500), N at (0.000, 0.000, 0.500), Cl at (0.000, 0.000, 0.000) and Cl at (0.250, 0.250, 0.000).